Computed, not measured: a relaxed structure of Sr2Cu16Rh at the PBE-GGA level of DFT.

Unit cell a=6.5700 b=6.5700 c=6.5700 alpha=83.43 beta=83.43 gamma=83.43
Last column: nearest neighbours and their distance in Å.
Fractional coordinates of all 19 atoms:
Sr 0.0000 0.0000 0.0000  1 Rh 3.08, 18 Cu 3.13-3.35
Sr 0.3164 0.3164 0.3164  19 Cu 3.06-3.36
Cu 0.0018 0.0018 0.5102  8 Cu 2.51-2.69, 1 Rh 2.69
Cu 0.0018 0.5102 0.0018  8 Cu 2.51-2.69, 1 Rh 2.69
Cu 0.1606 0.6587 0.6587  9 Cu 2.47-2.65, 1 Rh 2.69
Cu 0.3188 0.3188 0.8086  9 Cu 2.50-2.71
Cu 0.3188 0.8086 0.3188  9 Cu 2.50-2.71
Cu 0.3707 0.6588 0.9473  8 Cu 2.47-2.71
Cu 0.3707 0.9473 0.6588  8 Cu 2.47-2.71
Cu 0.5102 0.0018 0.0018  8 Cu 2.51-2.69, 1 Rh 2.69
Cu 0.5586 0.5586 0.5586  1 Rh 2.48, 6 Cu 2.65
Cu 0.6587 0.1606 0.6587  9 Cu 2.47-2.65, 1 Rh 2.69
Cu 0.6588 0.3707 0.9473  8 Cu 2.47-2.71
Cu 0.6587 0.6587 0.1606  9 Cu 2.47-2.65, 1 Rh 2.69
Cu 0.6588 0.9473 0.3707  8 Cu 2.47-2.71
Cu 0.8086 0.3188 0.3188  9 Cu 2.50-2.71
Cu 0.9473 0.3707 0.6588  8 Cu 2.47-2.71
Cu 0.9473 0.6588 0.3707  8 Cu 2.47-2.71
Rh 0.7555 0.7555 0.7555  7 Cu 2.48-2.69

Results
Fermi-level density of states: 9.5 states/eV/cell
Theoretical density: 7.72 g cm⁻³
Total moment: 0.000 μB/cell
Formation energy from the elements: -0.04 eV/atom



Computed, not measured: a relaxed structure of SrCuRh2 at the PBE-GGA level of DFT.

Unit cell a=3.2481 b=3.2481 c=6.8525 alpha=90.00 beta=90.00 gamma=90.00
Last column: nearest neighbours and their distance in Å.
Fractional coordinates of all 4 atoms:
Sr 0.0000 0.0000 0.0000  8 Rh 3.12, 4 Sr 3.25, 2 Cu 3.43
Cu 0.0000 0.0000 0.5000  8 Rh 2.64
Rh 0.5000 0.5000 0.3088  1 Rh 2.62, 4 Cu 2.64
Rh 0.5000 0.5000 0.6912  1 Rh 2.62, 4 Cu 2.64

Results
Fermi-level density of states: 7.6 states/eV/cell
ΔE to the lowest computed polymorph: 0.328 eV/atom
Theoretical density: 8.20 g cm⁻³
Total moment: 0.451 μB/cell
Formation energy from the elements: 0.19 eV/atom



Computed, not measured: a relaxed structure of Sr3Cu4Rh2 at the PBE-GGA level of DFT.

Unit cell a=5.8773 b=5.8773 c=9.3550 alpha=109.76 beta=109.76 gamma=41.70
Last column: nearest neighbours and their distance in Å.
Fractional coordinates of all 9 atoms:
Sr 0.0000 0.0000 0.0000  6 Cu 3.16-3.21, 4 Rh 3.34
Sr 0.3873 0.3873 0.3069  4 Cu 3.03-3.16, 3 Rh 3.12-3.18
Sr 0.6127 0.6127 0.6931  4 Cu 3.03-3.16, 3 Rh 3.12-3.18
Cu 0.1720 0.1720 0.4380  3 Rh 2.53-2.58, 2 Cu 2.69
Cu 0.2719 0.2719 0.9453  2 Cu 2.45, 1 Rh 2.49
Cu 0.7281 0.7281 0.0547  2 Cu 2.45, 1 Rh 2.49
Cu 0.8280 0.8280 0.5620  3 Rh 2.53-2.58, 2 Cu 2.69
Rh 0.3366 0.3366 0.7167  4 Cu 2.49-2.58
Rh 0.6634 0.6634 0.2833  4 Cu 2.49-2.58

Results
Fermi-level density of states: 5.4 states/eV/cell
Theoretical density: 5.99 g cm⁻³
Total moment: 0.000 μB/cell
Formation energy from the elements: -0.09 eV/atom



Computed, not measured: a relaxed structure of Sr3Cu2Rh7 at the PBE-GGA level of DFT.

Unit cell a=9.1966 b=9.1966 c=9.1966 alpha=34.31 beta=34.31 gamma=34.31
Last column: nearest neighbours and their distance in Å.
Fractional coordinates of all 12 atoms:
Sr 0.0000 0.0000 0.0000  6 Cu 3.13, 12 Rh 3.42
Sr 0.1404 0.1404 0.1404  12 Rh 3.13-3.32, 3 Sr 3.42
Sr 0.8596 0.8596 0.8596  12 Rh 3.13-3.32, 3 Sr 3.42
Cu 0.3335 0.3335 0.3335  6 Rh 2.60
Cu 0.6665 0.6665 0.6665  6 Rh 2.60
Rh 0.0791 0.5807 0.5807  2 Cu 2.60, 5 Rh 2.70-2.74
Rh 0.4193 0.4193 0.9209  2 Cu 2.60, 5 Rh 2.70-2.74
Rh 0.4193 0.9209 0.4193  2 Cu 2.60, 5 Rh 2.70-2.74
Rh 0.5000 0.5000 0.5000  6 Rh 2.74
Rh 0.5807 0.0791 0.5807  2 Cu 2.60, 5 Rh 2.70-2.74
Rh 0.5807 0.5807 0.0791  2 Cu 2.60, 5 Rh 2.70-2.74
Rh 0.9209 0.4193 0.4193  2 Cu 2.60, 5 Rh 2.70-2.74

Results
Fermi-level density of states: 14.5 states/eV/cell
Theoretical density: 8.36 g cm⁻³
Total moment: 0.003 μB/cell
Formation energy from the elements: -0.20 eV/atom



Computed, not measured: a relaxed structure of Sr3Cu3Rh at the PBE-GGA level of DFT.

Unit cell a=6.0363 b=6.0363 c=15.4313 alpha=106.56 beta=106.56 gamma=41.80
Last column: nearest neighbours and their distance in Å.
Fractional coordinates of all 14 atoms:
Sr 0.0193 0.0193 0.3881  5 Cu 3.00-3.35, 3 Rh 3.19-3.30
Sr 0.1081 0.1081 0.9213  7 Cu 3.11-3.40
Sr 0.2453 0.2453 0.2378  2 Rh 3.08, 6 Cu 3.12-3.39
Sr 0.7547 0.7547 0.7622  2 Rh 3.08, 6 Cu 3.12-3.39
Sr 0.8919 0.8919 0.0787  7 Cu 3.11-3.40
Sr 0.9807 0.9807 0.6119  5 Cu 3.00-3.35, 3 Rh 3.19-3.30
Cu 0.2981 0.2981 0.4640  3 Rh 2.57, 2 Cu 2.79
Cu 0.4111 0.4111 0.9244  2 Cu 2.56-2.57
Cu 0.4581 0.4581 0.7719  1 Rh 2.53, 1 Cu 2.56
Cu 0.5419 0.5419 0.2281  1 Rh 2.53, 1 Cu 2.56
Cu 0.5889 0.5889 0.0756  2 Cu 2.56-2.57
Cu 0.7019 0.7019 0.5360  3 Rh 2.57, 2 Cu 2.79
Rh 0.2789 0.2789 0.6259  4 Cu 2.53-2.57
Rh 0.7211 0.7211 0.3741  4 Cu 2.53-2.57

Results
Fermi-level density of states: 6.7 states/eV/cell
Theoretical density: 5.18 g cm⁻³
Total moment: 0.000 μB/cell
Formation energy from the elements: -0.12 eV/atom



Computed, not measured: a relaxed structure of SrCu3Rh2 at the PBE-GGA level of DFT.

Unit cell a=6.5126 b=6.5126 c=5.1564 alpha=90.00 beta=90.00 gamma=81.06
Last column: nearest neighbours and their distance in Å.
Fractional coordinates of all 12 atoms:
Sr 0.1859 0.8141 0.7500  9 Cu 3.06-3.33
Sr 0.8141 0.1859 0.2500  9 Cu 3.06-3.33
Cu 0.0405 0.5638 0.2500  4 Rh 2.54-2.57, 3 Cu 2.57-2.78
Cu 0.4358 0.5642 0.2500  4 Rh 2.57, 4 Cu 2.57-2.80
Cu 0.4362 0.9595 0.2500  4 Rh 2.54-2.57, 3 Cu 2.57-2.78
Cu 0.5638 0.0405 0.7500  4 Rh 2.54-2.57, 3 Cu 2.57-2.78
Cu 0.5642 0.4358 0.7500  4 Rh 2.57, 4 Cu 2.57-2.80
Cu 0.9595 0.4362 0.7500  4 Rh 2.54-2.57, 3 Cu 2.57-2.78
Rh 0.2820 0.2820 0.0000  6 Cu 2.54-2.57, 2 Rh 2.58
Rh 0.2820 0.2820 0.5000  6 Cu 2.54-2.57, 2 Rh 2.58
Rh 0.7180 0.7180 0.0000  6 Cu 2.54-2.57, 2 Rh 2.58
Rh 0.7180 0.7180 0.5000  6 Cu 2.54-2.57, 2 Rh 2.58

Results
Fermi-level density of states: 8.5 states/eV/cell
Theoretical density: 7.44 g cm⁻³
Total moment: 0.000 μB/cell
Formation energy from the elements: -0.07 eV/atom



Computed, not measured: a relaxed structure of SrCuRh3 at the PBE-GGA level of DFT.

Unit cell a=4.6524 b=4.6524 c=4.6524 alpha=90.00 beta=90.00 gamma=90.00
Last column: nearest neighbours and their distance in Å.
Fractional coordinates of all 5 atoms:
Sr 0.0000 0.0000 0.0000  12 Rh 3.29
Cu 0.5000 0.5000 0.5000  6 Rh 2.33
Rh 0.0000 0.5000 0.5000  2 Cu 2.33
Rh 0.5000 0.0000 0.5000  2 Cu 2.33
Rh 0.5000 0.5000 0.0000  2 Cu 2.33

Results
Fermi-level density of states: 6.1 states/eV/cell
ΔE to the lowest computed polymorph: 0.000 eV/atom
Theoretical density: 7.58 g cm⁻³
Total moment: 1.325 μB/cell
Formation energy from the elements: 0.52 eV/atom



Computed, not measured: a relaxed structure of SrCu2Rh at the PBE-GGA level of DFT.

Unit cell a=4.2979 b=4.2979 c=5.7248 alpha=112.36 beta=112.36 gamma=60.03
Last column: nearest neighbours and their distance in Å.
Fractional coordinates of all 4 atoms:
Sr 0.0000 0.0000 0.0000  6 Cu 2.96-3.30
Cu 0.1920 0.1920 0.5752  3 Rh 2.51, 3 Cu 2.60
Cu 0.8080 0.8080 0.4248  3 Rh 2.51, 3 Cu 2.60
Rh 0.5000 0.5000 0.5000  6 Cu 2.51

Results
Fermi-level density of states: 1.5 states/eV/cell
ΔE to the lowest computed polymorph: 0.000 eV/atom
Theoretical density: 6.41 g cm⁻³
Total moment: 0.000 μB/cell
Formation energy from the elements: -0.14 eV/atom



Computed, not measured: a relaxed structure of SrCuRh2 at the PBE-GGA level of DFT.

Unit cell a=4.6409 b=4.6409 c=4.6409 alpha=60.00 beta=60.00 gamma=60.00
Last column: nearest neighbours and their distance in Å.
Fractional coordinates of all 4 atoms:
Sr 0.0000 0.0000 0.0000  8 Rh 2.84
Cu 0.5000 0.5000 0.5000  8 Rh 2.84
Rh 0.2500 0.2500 0.2500  4 Cu 2.84, 4 Sr 2.84
Rh 0.7500 0.7500 0.7500  4 Cu 2.84, 4 Sr 2.84

Results
Fermi-level density of states: 3.8 states/eV/cell
ΔE to the lowest computed polymorph: 0.417 eV/atom
Theoretical density: 8.39 g cm⁻³
Total moment: 0.000 μB/cell
Formation energy from the elements: 0.28 eV/atom



Computed, not measured: a relaxed structure of SrCu2Rh at the PBE-GGA level of DFT.

Unit cell a=4.2808 b=6.7370 c=5.6343 alpha=90.00 beta=90.00 gamma=90.00
Last column: nearest neighbours and their distance in Å.
Fractional coordinates of all 8 atoms:
Sr 0.2500 0.2500 0.1161  8 Cu 3.03-3.37, 2 Rh 3.36
Sr 0.7500 0.7500 0.8839  8 Cu 3.03-3.37, 2 Rh 3.36
Cu 0.2500 0.0565 0.6020  3 Rh 2.53, 3 Cu 2.55-2.61
Cu 0.2500 0.4435 0.6020  3 Rh 2.53, 3 Cu 2.55-2.61
Cu 0.7500 0.5565 0.3980  3 Rh 2.53, 3 Cu 2.55-2.61
Cu 0.7500 0.9435 0.3980  3 Rh 2.53, 3 Cu 2.55-2.61
Rh 0.2500 0.7500 0.3427  6 Cu 2.53
Rh 0.7500 0.2500 0.6573  6 Cu 2.53

Results
Fermi-level density of states: 4.6 states/eV/cell
ΔE to the lowest computed polymorph: 0.014 eV/atom
Theoretical density: 6.49 g cm⁻³
Total moment: 0.000 μB/cell
Formation energy from the elements: -0.13 eV/atom